Pr8IrPb2 (GGA-PBE, optimized geometry); calculated total energy = -5.302 eV/atom; formation energy from the elements = -0.35 eV/atom; SG = No. 12
1.0
-3.687 -1.646 -3.173
4.912 -1.576 -4.889
0.891 -7.570 7.048
Pr Pb Ir
8 2 1
Direct
0.784 0.674 0.568
0.644 0.005 0.289
0.216 0.326 0.432
0.985 0.215 0.971
0.410 0.534 0.821
0.590 0.466 0.179
0.015 0.785 0.029
0.356 0.995 0.711
0.819 0.242 0.638
0.181 0.758 0.362
0.500 0.000 0.000